# 1
This record from Alexandria via LeMat-Bulk describes a relaxed SmPuZnCd crystal. The functional is PBE.

The structure belongs to space group F-43m (No. 216); the cell edges are 7.429, 7.429 and 7.429 Å and the angles 90.00°, 90.00° and 90.00°. The asymmetric unit holds Sm at (0.000, 0.000, 0.000), Pu at (0.000, 0.000, 0.500), Zn at (0.250, 0.250, 0.250) and Cd at (0.250, 0.250, 0.750).

Its formation energy is -112 meV/atom. The value obtained for the total moment is 6.3 μB/f.u. The density of states at the Fermi level is 2.2017 states/eV per atom. The total energy is -86.754 eV for the cell shown.



# 2
This record from Alexandria via LeMat-Bulk describes a relaxed PuCdSn crystal. The functional is PBE.

The structure belongs to space group P4/nmm (No. 129, origin choice 2); the cell edges are 4.463, 4.463 and 7.999 Å and the angles 90.00°, 90.00° and 90.00°. The asymmetric unit holds Pu at (0.250, 0.250, 0.147), Cd at (0.250, 0.750, 0.500) and Sn at (0.250, 0.250, 0.750).

Its formation energy is -171 meV/atom. The value obtained for the total moment is 6.1 μB/f.u. The density of states at the Fermi level is 3.8099 states/eV per atom. The total energy is -39.526 eV for the cell shown.



# 3
This record from Alexandria via LeMat-Bulk describes a relaxed PuCdSn crystal. The functional is PBE.

The structure belongs to space group P-6m2 (No. 187); the cell edges are 5.0569, 5.0569 and 3.4379 Å and the angles 90.00°, 90.00° and 120.00°. The asymmetric unit holds Pu at (0.0000, 0.0000, 0.0000), Cd at (0.6667, 0.3333, 0.5000) and Sn at (0.3333, 0.6667, 0.5000).

Its formation energy is -216 meV/atom. The value obtained for the total moment is 6.0 μB/f.u. The density of states at the Fermi level is 3.0782 states/eV per atom. The total energy is -19.898 eV for the cell shown.



# 4
This record from Alexandria via LeMat-Bulk describes a relaxed PuCd4Sn crystal. The functional is PBE.

The structure belongs to space group F-43m (No. 216); the cell edges are 8.453, 8.453 and 8.453 Å and the angles 90.00°, 90.00° and 90.00°. The asymmetric unit holds Pu at (0.000, 0.000, 0.000), Cd at (0.125, 0.125, 0.625) and Sn at (0.250, 0.250, 0.250).

Its formation energy is 20 meV/atom. The value obtained for the total moment is 5.9 μB/f.u. The density of states at the Fermi level is 2.7685 states/eV per atom. The total energy is -87.500 eV for the cell shown.



# 5
This record from Alexandria via LeMat-Bulk describes a relaxed PuCdSn crystal. The functional is PBE.

The structure belongs to space group F-43m (No. 216); the cell edges are 7.103, 7.103 and 7.103 Å and the angles 90.00°, 90.00° and 90.00°. The asymmetric unit holds Pu at (0.000, 0.000, 0.000), Cd at (0.000, 0.000, 0.500) and Sn at (0.250, 0.250, 0.250).

Its formation energy is -34 meV/atom. The value obtained for the total moment is 6.0 μB/f.u. The density of states at the Fermi level is 4.1366 states/eV per atom. The total energy is -77.411 eV for the cell shown.



# 6
This record from Alexandria via LeMat-Bulk describes a relaxed PuCd6Sn2 crystal. The functional is PBE.

The structure belongs to space group C2/m (No. 12); the cell edges are 9.107, 4.901 and 9.903 Å and the angles 90.00°, 95.75° and 90.00°. The asymmetric unit holds Pu at (0.000, 0.000, 0.000), Cd at (0.012, 0.000, 0.346), Cd at (0.164, 0.500, 0.526), Cd at (0.179, 0.500, 0.200) and Sn at (0.151, 0.500, 0.844).

Its formation energy is -42 meV/atom. The value obtained for the total moment is 5.9 μB/f.u. The density of states at the Fermi level is 1.6250 states/eV per atom. The total energy is -56.409 eV for the cell shown.



# 7
This record from Alexandria via LeMat-Bulk describes a relaxed Pu6CdSn2 crystal. The functional is PBE.

The structure belongs to space group P6/mmm (No. 191); the cell edges are 7.3478, 7.3478 and 4.1989 Å and the angles 90.00°, 90.00° and 120.00°. The asymmetric unit holds Pu at (0.0000, 0.3333, 0.0000), Cd at (0.0000, 0.0000, 0.5000) and Sn at (0.3333, 0.6667, 0.5000).

Its formation energy is 321 meV/atom. The value obtained for the total moment is 12.7 μB/f.u. The density of states at the Fermi level is 2.1384 states/eV per atom. The total energy is -92.028 eV for the cell shown.



# 8
This record from Alexandria via LeMat-Bulk describes a relaxed PuCdSn crystal. The functional is PBE.

The structure belongs to space group I4mm (No. 107); the cell edges are 3.387, 3.387 and 13.447 Å and the angles 90.00°, 90.00° and 90.00°. The asymmetric unit holds Pu at (0.000, 0.000, 0.000), Cd at (0.000, 0.000, 0.328) and Sn at (0.000, 0.000, 0.669).

Its formation energy is -113 meV/atom. The value obtained for the total moment is 5.9 μB/f.u. The density of states at the Fermi level is 2.3243 states/eV per atom. The total energy is -39.179 eV for the cell shown.



# 9
This record from Alexandria via LeMat-Bulk describes a relaxed PuCd2Sn3 crystal. The functional is PBE.

The structure belongs to space group Cmmm (No. 65); the cell edges are 4.646, 14.325 and 4.531 Å and the angles 90.00°, 90.00° and 90.00°. The asymmetric unit holds Pu at (0.000, 0.000, 0.000), Cd at (0.000, 0.331, 0.000), Sn at (0.000, 0.167, 0.500) and Sn at (0.000, 0.500, 0.500).

Its formation energy is -152 meV/atom. The value obtained for the total moment is 5.7 μB/f.u. The density of states at the Fermi level is 1.9639 states/eV per atom. The total energy is -58.164 eV for the cell shown.



# 10
This record from Alexandria via LeMat-Bulk describes a relaxed PuCdSn crystal. The functional is PBE.

The structure belongs to space group I4/mmm (No. 139); the cell edges are 4.427, 4.427 and 16.194 Å and the angles 90.00°, 90.00° and 90.00°. The asymmetric unit holds Pu at (0.000, 0.000, 0.170), Cd at (0.000, 0.500, 0.000) and Sn at (0.000, 0.000, 0.366).

Its formation energy is -166 meV/atom. The value obtained for the total moment is 5.6 μB/f.u. The density of states at the Fermi level is 3.9614 states/eV per atom. The total energy is -78.987 eV for the cell shown.



# 11
This record from Alexandria via LeMat-Bulk describes a relaxed PuCdSn6 crystal. The functional is PBE.

The structure belongs to space group Cmmm (No. 65); the cell edges are 6.990, 11.044 and 5.453 Å and the angles 90.00°, 90.00° and 90.00°. The asymmetric unit holds Pu at (0.000, 0.000, 0.000), Cd at (0.000, 0.500, 0.000), Sn at (0.000, 0.219, 0.500), Sn at (0.222, 0.500, 0.500) and Sn at (0.250, 0.250, 0.000).

Its formation energy is -93 meV/atom. The value obtained for the total moment is 5.9 μB/f.u. The density of states at the Fermi level is 1.3429 states/eV per atom. The total energy is -80.013 eV for the cell shown.



# 12
This record from Alexandria via LeMat-Bulk describes a relaxed TbPuCdSn crystal. The functional is PBE.

The structure belongs to space group F-43m (No. 216); the cell edges are 7.551, 7.551 and 7.551 Å and the angles 90.00°, 90.00° and 90.00°. The asymmetric unit holds Tb at (0.000, 0.000, 0.000), Pu at (0.000, 0.000, 0.500), Cd at (0.250, 0.250, 0.250) and Sn at (0.250, 0.250, 0.750).

Its formation energy is -326 meV/atom. The value obtained for the total moment is 6.6 μB/f.u. The density of states at the Fermi level is 2.5249 states/eV per atom. The total energy is -100.732 eV for the cell shown.